Record 1
Density functional theory data (PBE-GGA) for an optimized crystal structure of ZnRhW2.

Summary:
**E_tot**: -0.6271 Ry per atom
**Fermi-level density of states**: 0.66 states/eV per atom

```
data_ZnRhW2
_space_group_name_H-M_alt 'R 3 m'
_space_group_IT_number 160
_space_group_name_Hall 'R 3 -2"'
_cell_length_a 2.8017
_cell_length_b 2.8017
_cell_length_c 27.1593
_cell_angle_alpha 90.00
_cell_angle_beta 90.00
_cell_angle_gamma 120.00
loop_
_atom_site_label
_atom_site_type_symbol
_atom_site_fract_x
_atom_site_fract_y
_atom_site_fract_z
Zn1 Zn 0.0000 0.0000 0.0000
Rh1 Rh 0.0000 0.0000 0.2532
W1 W 0.0000 0.0000 0.5078
W2 W 0.0000 0.0000 0.7514
```

---

Record 2
Density functional theory data (PBE-GGA) for an optimized crystal structure of ZnRhW2.

Summary:
**E_tot**: -0.6262 Ry per atom
**Fermi-level density of states**: 0.64 states/eV per atom

```
data_ZnRhW2
_space_group_name_H-M_alt 'C 1 m 1'
_space_group_IT_number 8
_cell_length_a 9.0654
_cell_length_b 2.7310
_cell_length_c 4.9452
_cell_angle_alpha 90.00
_cell_angle_beta 97.58
_cell_angle_gamma 90.00
loop_
_space_group_symop_operation_xyz
'x,y,z'
'x,-y,z'
'x+1/2,y+1/2,z'
'x+1/2,-y+1/2,z'
loop_
_atom_site_label
_atom_site_type_symbol
_atom_site_fract_x
_atom_site_fract_y
_atom_site_fract_z
Zn1 Zn 0.0000 0.0000 0.0000
Rh1 Rh 0.2506 0.0000 0.7660
W1 W 0.0105 0.5000 0.5071
W2 W 0.2522 0.5000 0.2462
```

---

Record 3
Density functional theory data (PBE-GGA) for an optimized crystal structure of ZnRh2W.

Summary:
**E_tot**: -0.5303 Ry per atom
**Fermi-level density of states**: 1.44 states/eV per atom

```
data_ZnRh2W
_space_group_name_H-M_alt 'P 4/m m m'
_space_group_IT_number 123
_space_group_name_Hall '-P 4 2'
_cell_length_a 4.0332
_cell_length_b 4.0332
_cell_length_c 3.5906
_cell_angle_alpha 90.00
_cell_angle_beta 90.00
_cell_angle_gamma 90.00
loop_
_atom_site_label
_atom_site_type_symbol
_atom_site_fract_x
_atom_site_fract_y
_atom_site_fract_z
Zn1 Zn 0.0000 0.0000 0.0000
Rh1 Rh 0.0000 0.5000 0.5000
W1 W 0.5000 0.5000 0.0000
```

---

Record 4
Density functional theory data (PBE-GGA) for an optimized crystal structure of ZnRh2W.

Summary:
**E_tot**: -0.5178 Ry per atom
**Fermi-level density of states**: 1.66 states/eV per atom

```
data_ZnRh2W
_space_group_name_H-M_alt 'F -4 3 m'
_space_group_IT_number 216
_space_group_name_Hall 'F -4 2 3'
_cell_length_a 6.1705
_cell_length_b 6.1705
_cell_length_c 6.1705
_cell_angle_alpha 90.00
_cell_angle_beta 90.00
_cell_angle_gamma 90.00
loop_
_atom_site_label
_atom_site_type_symbol
_atom_site_fract_x
_atom_site_fract_y
_atom_site_fract_z
Zn1 Zn 0.0000 0.0000 0.0000
Rh1 Rh 0.0000 0.0000 0.5000
Rh2 Rh 0.2500 0.2500 0.2500
W1 W 0.2500 0.2500 0.7500
```

---

Record 5
Density functional theory data (PBE-GGA) for an optimized crystal structure of ZnRhW2.

Summary:
**E_tot**: -0.6282 Ry per atom
**Fermi-level density of states**: 0.47 states/eV per atom

```
data_ZnRhW2
_space_group_name_H-M_alt 'P 4/m m m'
_space_group_IT_number 123
_space_group_name_Hall '-P 4 2'
_cell_length_a 2.7500
_cell_length_b 2.7500
_cell_length_c 7.9475
_cell_angle_alpha 90.00
_cell_angle_beta 90.00
_cell_angle_gamma 90.00
loop_
_atom_site_label
_atom_site_type_symbol
_atom_site_fract_x
_atom_site_fract_y
_atom_site_fract_z
Zn1 Zn 0.0000 0.0000 0.0000
Rh1 Rh 0.0000 0.0000 0.5000
W1 W 0.5000 0.5000 0.2529
```

---

Record 6
Density functional theory data (PBE-GGA) for an optimized crystal structure of ZnRh2W.

Summary:
**E_tot**: -0.5562 Ry per atom
**Fermi-level density of states**: 0.46 states/eV per atom

```
data_ZnRh2W
_space_group_name_H-M_alt 'P 4/m m m'
_space_group_IT_number 123
_space_group_name_Hall '-P 4 2'
_cell_length_a 2.8358
_cell_length_b 2.8358
_cell_length_c 7.1824
_cell_angle_alpha 90.00
_cell_angle_beta 90.00
_cell_angle_gamma 90.00
loop_
_atom_site_label
_atom_site_type_symbol
_atom_site_fract_x
_atom_site_fract_y
_atom_site_fract_z
Zn1 Zn 0.0000 0.0000 0.0000
Rh1 Rh 0.5000 0.5000 0.2451
W1 W 0.0000 0.0000 0.5000
```

---

| no. | size of the total moment (μB/cell) | formation energy (meV/atom) |
| --- | --- | --- |
| 1 | 0.00 | 101 |
| 2 | 0.00 | 113 |
| 3 | 0.01 | 17 |
| 4 | 0.00 | 187 |
| 5 | 0.00 | 86 |
| 6 | 0.00 | -335 |